The following is a DFT calculation (PBE) of crystalline LaCo2Ir2 at its relaxed geometry.

SG	I4/mmm, No. 139
electronic total energy	-37.6	eV/f.u.
D(E_F)	1.177	states/eV/atom
offset from the most stable computed form	0.000	eV/atom

Cell: 4.223 4.223 5.841 Å, 68.81 68.81 90.00°
Each line ends with the local moment (μB).
Atoms (fractional coordinates):
Co1 0.250 0.750 0.500  1.59
Co2 0.750 0.250 0.500  1.59
Ir1 0.623 0.623 0.755  0.41
Ir2 0.377 0.377 0.245  0.41
La1 0.000 0.000 0.000  -0.06